[1]
# HfTa2Pd

A relaxed HfTa2Pd crystal (PBE, Alexandria via LeMat-Bulk).

Lattice parameters (Å, degrees): 3.864 3.864 10.791 79.69 79.69 90.00
Atoms (fractional coordinates):
Ta  0.122  0.625  0.250
Ta  0.375  0.372  0.750
Ta  0.875  0.878  0.750
Ta  0.628  0.125  0.250
Pd  0.250  0.750  0.500
Pd  0.500  0.500  0.000
Hf  0.000  0.000  0.000
Hf  0.750  0.250  0.500

Values from the calculation:
Its space group is I-42d, No. 122. As for the energy above the lowest structure with this stoichiometry: 0.205 eV per atom.

[2]
# Hf3TaPd

A relaxed Hf3TaPd crystal (PBE, Alexandria via LeMat-Bulk).

Lattice parameters (Å, degrees): 5.041 5.041 5.041 90.00 90.00 90.00
Atoms (fractional coordinates):
Hf  0.000  0.500  0.000
Hf  0.000  0.000  0.500
Hf  0.500  0.000  0.000
Ta  0.000  0.000  0.000
Pd  0.500  0.500  0.500

Values from the calculation:
Its space group is Pm-3m, No. 221.

[3]
# HfTa2Pd8

A relaxed HfTa2Pd8 crystal (PBE, Alexandria via LeMat-Bulk).

Lattice parameters (Å, degrees): 4.043 6.539 7.398 108.26 105.86 90.00
Atoms (fractional coordinates):
Pd  0.396  0.547  0.793
Pd  0.958  0.269  0.917
Pd  0.145  0.197  0.290
Pd  0.042  0.731  0.083
Pd  0.681  0.911  0.362
Pd  0.319  0.089  0.638
Pd  0.855  0.803  0.710
Pd  0.604  0.453  0.207
Ta  0.220  0.659  0.439
Ta  0.780  0.341  0.561
Hf  0.500  0.000  0.000

Values from the calculation:
Its space group is C2/m, No. 12.

[4]
# HfTa2Pd9

A relaxed HfTa2Pd9 crystal (PBE, Alexandria via LeMat-Bulk).

Lattice parameters (Å, degrees): 3.984 3.984 11.984 90.00 90.00 90.00
Each line ends with the local moment (μB).
Atoms (fractional coordinates):
Ta  0.000  0.000  0.666  0.37
Ta  0.000  0.000  0.334  0.37
Pd  0.000  0.500  0.170  0.03
Pd  0.000  0.500  0.500  0.06
Pd  0.000  0.500  0.830  0.03
Pd  0.500  0.500  0.000  0.02
Pd  0.500  0.000  0.830  0.03
Pd  0.500  0.500  0.665  0.04
Pd  0.500  0.000  0.500  0.06
Pd  0.500  0.000  0.170  0.03
Pd  0.500  0.500  0.335  0.04
Hf  0.000  0.000  0.000  0.03

Values from the calculation:
Its space group is P4/mmm, No. 123.

[5]
# HfTaPd3

A relaxed HfTaPd3 crystal (PBE, Alexandria via LeMat-Bulk).

Lattice parameters (Å, degrees): 4.779 4.779 4.779 90.00 90.00 90.00
Atoms (fractional coordinates):
Hf  0.500  0.500  0.500
Pd  0.500  0.000  0.000
Pd  0.000  0.000  0.500
Pd  0.000  0.500  0.000
Ta  0.000  0.000  0.000

Values from the calculation:
Its space group is Pm-3m, No. 221. As for the energy above the lowest structure with this stoichiometry: 0.000 eV per atom.

[6]
# Hf2TaPd

A relaxed Hf2TaPd crystal (PBE, Alexandria via LeMat-Bulk).

Lattice parameters (Å, degrees): 3.250 4.842 4.842 90.00 90.00 90.00
Atoms (fractional coordinates):
Hf  0.000  0.000  0.500
Hf  0.000  0.500  0.000
Pd  0.500  0.500  0.500
Ta  0.500  0.000  0.000

Values from the calculation:
Its space group is P4/mmm, No. 123. As for the energy above the lowest structure with this stoichiometry: 0.118 eV per atom.

[7]
# HfTa2Pd2

A relaxed HfTa2Pd2 crystal (PBE, Alexandria via LeMat-Bulk).

Lattice parameters (Å, degrees): 7.724 7.724 3.015 90.00 90.00 90.00
Atoms (fractional coordinates):
Ta  0.175  0.675  0.500
Ta  0.825  0.325  0.500
Ta  0.325  0.175  0.500
Ta  0.675  0.825  0.500
Hf  0.500  0.500  0.000
Hf  0.000  0.000  0.000
Pd  0.124  0.376  0.000
Pd  0.624  0.124  0.000
Pd  0.876  0.624  0.000
Pd  0.376  0.876  0.000

Values from the calculation:
Its space group is P4/mbm, No. 127.

[8]
# HfTaPd

A relaxed HfTaPd crystal (PBE, Alexandria via LeMat-Bulk).

Lattice parameters (Å, degrees): 2.896 4.712 4.712 120.00 90.00 90.00
Atoms (fractional coordinates):
Pd  0.500  0.667  0.333
Hf  0.000  0.000  0.000
Ta  0.500  0.333  0.667

Values from the calculation:
Its space group is P-6m2, No. 187. As for the energy above the lowest structure with this stoichiometry: 0.294 eV per atom.

[9]
# HfTa2Pd

A relaxed HfTa2Pd crystal (PBE, Alexandria via LeMat-Bulk).

Lattice parameters (Å, degrees): 4.662 4.662 4.662 60.00 60.00 60.00
Atoms (fractional coordinates):
Pd  0.000  0.000  0.000
Hf  0.500  0.500  0.500
Ta  0.750  0.750  0.750
Ta  0.250  0.250  0.250

Values from the calculation:
Its space group is Fm-3m, No. 225. As for the energy above the lowest structure with this stoichiometry: 0.000 eV per atom.

[10]
# HfTaPd

A relaxed HfTaPd crystal (PBE, Alexandria via LeMat-Bulk).

Lattice parameters (Å, degrees): 3.112 3.112 6.137 104.69 104.69 90.00
Atoms (fractional coordinates):
Ta  0.675  0.675  0.351
Pd  0.326  0.326  0.653
Hf  0.998  0.998  0.996

Values from the calculation:
Its space group is I4mm, No. 107. As for the energy above the lowest structure with this stoichiometry: 0.000 eV per atom.

[11]
# Hf2Ta2Pd

A relaxed Hf2Ta2Pd crystal (PBE, Alexandria via LeMat-Bulk).

Lattice parameters (Å, degrees): 3.341 3.341 8.782 100.97 100.97 90.00
Atoms (fractional coordinates):
Ta  0.204  0.204  0.408
Ta  0.796  0.796  0.592
Pd  0.000  0.000  0.000
Hf  0.400  0.400  0.801
Hf  0.600  0.600  0.199

Values from the calculation:
Its space group is I4/mmm, No. 139.

[12]
# Hf2TaPd

A relaxed Hf2TaPd crystal (PBE, Alexandria via LeMat-Bulk).

Lattice parameters (Å, degrees): 3.099 3.099 9.519 80.63 80.63 60.00
Atoms (fractional coordinates):
Pd  0.668  0.668  0.997
Hf  0.252  0.252  0.243
Hf  0.080  0.080  0.759
Ta  0.500  0.500  0.501

Values from the calculation:
Its space group is R3m, No. 160. As for the energy above the lowest structure with this stoichiometry: 0.212 eV per atom.

[13]
# Hf2TaPd

A relaxed Hf2TaPd crystal (PBE, Alexandria via LeMat-Bulk).

Lattice parameters (Å, degrees): 4.066 4.066 10.296 78.61 78.61 90.00
Atoms (fractional coordinates):
Ta  0.000  0.000  0.000
Ta  0.750  0.250  0.500
Hf  0.875  0.877  0.750
Hf  0.375  0.373  0.750
Hf  0.123  0.625  0.250
Hf  0.627  0.125  0.250
Pd  0.250  0.750  0.500
Pd  0.500  0.500  0.000

Values from the calculation:
Its space group is I-42d, No. 122. As for the energy above the lowest structure with this stoichiometry: 0.768 eV per atom.

[14]
# Hf2TaPd

A relaxed Hf2TaPd crystal (PBE, Alexandria via LeMat-Bulk).

Lattice parameters (Å, degrees): 4.740 4.740 4.740 60.00 60.00 60.00
Atoms (fractional coordinates):
Pd  0.000  0.000  0.000
Hf  0.750  0.750  0.750
Hf  0.250  0.250  0.250
Ta  0.500  0.500  0.500

Values from the calculation:
Its space group is Fm-3m, No. 225. As for the energy above the lowest structure with this stoichiometry: 0.167 eV per atom.

[15]
# HfTaTcPd

A relaxed HfTaTcPd crystal (PBE, Alexandria via LeMat-Bulk).

Lattice parameters (Å, degrees): 4.594 4.594 4.594 60.00 60.00 60.00
Atoms (fractional coordinates):
Tc  0.250  0.250  0.250
Ta  0.000  0.000  0.000
Pd  0.750  0.750  0.750
Hf  0.500  0.500  0.500

Values from the calculation:
Its space group is F-43m, No. 216.

[16]
# TbHf2Pd9

A relaxed TbHf2Pd9 crystal (PBE, Alexandria via LeMat-Bulk).

Lattice parameters (Å, degrees): 4.048 4.048 12.158 90.00 90.00 90.00
Atoms (fractional coordinates):
Pd  0.500  0.000  0.824
Pd  0.500  0.500  0.000
Pd  0.500  0.500  0.338
Pd  0.000  0.500  0.824
Pd  0.500  0.000  0.500
Pd  0.500  0.000  0.176
Pd  0.000  0.500  0.500
Pd  0.500  0.500  0.662
Pd  0.000  0.500  0.176
Hf  0.000  0.000  0.666
Hf  0.000  0.000  0.334
Tb  0.000  0.000  0.000

Values from the calculation:
Its space group is P4/mmm, No. 123.

[17]
# TbHfPd2

A relaxed TbHfPd2 crystal (PBE, Alexandria via LeMat-Bulk).

Lattice parameters (Å, degrees): 3.381 3.381 7.091 90.00 90.00 90.00
Atoms (fractional coordinates):
Hf  0.500  0.500  0.000
Pd  0.000  0.000  0.787
Pd  0.000  0.000  0.213
Tb  0.500  0.500  0.500

Values from the calculation:
Its space group is P4/mmm, No. 123. As for the energy above the lowest structure with this stoichiometry: 0.000 eV per atom.

[18]
# TbHf2Pd8

A relaxed TbHf2Pd8 crystal (PBE, Alexandria via LeMat-Bulk).

Lattice parameters (Å, degrees): 4.105 6.682 7.559 107.29 105.76 90.00
Atoms (fractional coordinates):
Pd  0.398  0.540  0.797
Pd  0.602  0.460  0.203
Pd  0.147  0.203  0.293
Pd  0.958  0.283  0.915
Pd  0.853  0.797  0.707
Pd  0.318  0.089  0.636
Pd  0.682  0.911  0.364
Pd  0.042  0.717  0.085
Hf  0.779  0.333  0.558
Hf  0.221  0.667  0.442
Tb  0.500  0.000  0.000

Values from the calculation:
Its space group is C2/m, No. 12.

[19]
# TbHfPd2

A relaxed TbHfPd2 crystal (PBE, Alexandria via LeMat-Bulk).

Lattice parameters (Å, degrees): 4.833 4.833 4.833 60.00 60.00 60.00
Atoms (fractional coordinates):
Pd  0.250  0.250  0.250
Pd  0.750  0.750  0.750
Hf  0.500  0.500  0.500
Tb  0.000  0.000  0.000

Values from the calculation:
Its space group is Fm-3m, No. 225. As for the energy above the lowest structure with this stoichiometry: 0.064 eV per atom.

[20]
# TbHfPd2

A relaxed TbHfPd2 crystal (PBE, Alexandria via LeMat-Bulk).

Lattice parameters (Å, degrees): 3.990 3.990 6.865 73.11 73.11 60.00
Atoms (fractional coordinates):
Tb  0.500  0.500  0.500
Pd  0.261  0.261  0.217
Pd  0.739  0.739  0.783
Hf  0.000  0.000  0.000

Values from the calculation:
Its space group is R-3m, No. 166. As for the energy above the lowest structure with this stoichiometry: 0.170 eV per atom.

| no. | DFT formation energy (eV/atom) |
| --- | --- |
| 1 | 0.276 |
| 2 | 1.107 |
| 3 | -0.534 |
| 4 | -0.482 |
| 5 | 0.743 |
| 6 | -0.233 |
| 7 | -0.116 |
| 8 | -0.025 |
| 9 | 0.071 |
| 10 | -0.318 |
| 11 | -0.300 |
| 12 | -0.139 |
| 13 | 0.417 |
| 14 | -0.184 |
| 15 | -0.404 |
| 16 | -0.899 |
| 17 | -0.738 |
| 18 | -0.761 |
| 19 | -0.674 |
| 20 | -0.568 |